# Sm7Tm12Tl GGA-PBE relaxed
data_Sm7Tm12Tl
_chemical_formula_sum 'Sm7 Tm12 Tl1'
_space_group_name_H-M_alt 'P -1'
_space_group_IT_number 2
_cell_length_a 6.109
_cell_length_b 9.328
_cell_length_c 11.103
_cell_angle_alpha 96.88
_cell_angle_beta 100.23
_cell_angle_gamma 90.07
loop_
_space_group_symop_operation_xyz
'x,y,z'
'-x,-y,-z'
loop_
_atom_site_label
_atom_site_fract_x
_atom_site_fract_y
_atom_site_fract_z
Sm1 0.000 0.000 0.000
Sm2 0.152 0.353 0.946
Sm3 0.204 0.802 0.600
Sm4 0.247 0.254 0.251
Tm1 0.056 0.450 0.646
Tm2 0.095 0.903 0.302
Tm3 0.301 0.700 0.902
Tm4 0.349 0.151 0.550
Tm5 0.399 0.601 0.207
Tm6 0.452 0.051 0.847
Tl1 0.500 0.500 0.500
# ΔH_f (0 K) = 0.00 eV/atom
# Electronic total energy = -4.452 eV/atom
# DOS(E_F) = 27.72 states/eV/cell



# Sm4Tm5Tl GGA-PBE relaxed
data_Sm4Tm5Tl
_chemical_formula_sum 'Sm8 Tm10 Tl2'
_space_group_name_H-M_alt 'I 4 m m'
_space_group_IT_number 107
_space_group_name_Hall 'I 4 -2'
_cell_length_a 10.652
_cell_length_b 10.652
_cell_length_c 5.758
_cell_angle_alpha 90.00
_cell_angle_beta 90.00
_cell_angle_gamma 90.00
loop_
_atom_site_label
_atom_site_fract_x
_atom_site_fract_y
_atom_site_fract_z
Sm1 0.000 0.314 0.000
Tm1 0.000 0.000 0.796
Tm2 0.184 0.184 0.504
Tl1 0.000 0.000 0.279
# ΔH_f (0 K) = 0.11 eV/atom
# Electronic total energy = -4.252 eV/atom
# DOS(E_F) = 29.53 states/eV/cell
# E above lowest polymorph = 157.6 kJ/mol of formula units



# SmTmTl4 GGA-PBE relaxed
data_SmTmTl4
_chemical_formula_sum 'Sm1 Tm1 Tl4'
_space_group_name_H-M_alt 'P 4/m m m'
_space_group_IT_number 123
_space_group_name_Hall '-P 4 2'
_cell_length_a 5.123
_cell_length_b 5.123
_cell_length_c 7.389
_cell_angle_alpha 90.00
_cell_angle_beta 90.00
_cell_angle_gamma 90.00
loop_
_atom_site_label
_atom_site_fract_x
_atom_site_fract_y
_atom_site_fract_z
Sm1 0.000 0.000 0.000
Tm1 0.500 0.500 0.500
Tl1 0.000 0.500 0.262
# ΔH_f (0 K) = 0.00 eV/atom
# Electronic total energy = -3.109 eV/atom
# DOS(E_F) = 4.61 states/eV/cell



# Sm5Tm2Tl GGA-PBE relaxed
data_Sm5Tm2Tl
_chemical_formula_sum 'Sm10 Tm4 Tl2'
_space_group_name_H-M_alt 'I 4 m m'
_space_group_IT_number 107
_space_group_name_Hall 'I 4 -2'
_cell_length_a 7.789
_cell_length_b 7.789
_cell_length_c 8.236
_cell_angle_alpha 90.00
_cell_angle_beta 90.00
_cell_angle_gamma 90.00
loop_
_atom_site_label
_atom_site_fract_x
_atom_site_fract_y
_atom_site_fract_z
Sm1 0.000 0.000 0.000
Sm2 0.228 0.228 0.694
Tm1 0.000 0.500 0.441
Tl1 0.000 0.000 0.417
# ΔH_f (0 K) = -0.02 eV/atom
# Electronic total energy = -4.385 eV/atom
# DOS(E_F) = 20.72 states/eV/cell
# E above lowest polymorph = 0.0 kJ/mol of formula units



# SmTmTl2 GGA-PBE relaxed
data_SmTmTl2
_chemical_formula_sum 'Sm1 Tm1 Tl2'
_space_group_name_H-M_alt 'P 4/m m m'
_space_group_IT_number 123
_space_group_name_Hall '-P 4 2'
_cell_length_a 3.800
_cell_length_b 3.800
_cell_length_c 7.628
_cell_angle_alpha 90.00
_cell_angle_beta 90.00
_cell_angle_gamma 90.00
loop_
_atom_site_label
_atom_site_fract_x
_atom_site_fract_y
_atom_site_fract_z
Sm1 0.000 0.000 0.000
Tm1 0.000 0.000 0.500
Tl1 0.500 0.500 0.261
# ΔH_f (0 K) = -0.34 eV/atom
# Electronic total energy = -3.822 eV/atom
# DOS(E_F) = 2.98 states/eV/cell
# E above lowest polymorph = 0.0 kJ/mol of formula units



# Sm2Tm3Tl GGA-PBE relaxed
data_Sm2Tm3Tl
_chemical_formula_sum 'Sm4 Tm6 Tl2'
_space_group_name_H-M_alt 'C m m m'
_space_group_IT_number 65
_space_group_name_Hall '-C 2 2'
_cell_length_a 3.830
_cell_length_b 17.235
_cell_length_c 5.504
_cell_angle_alpha 90.00
_cell_angle_beta 90.00
_cell_angle_gamma 90.00
loop_
_atom_site_label
_atom_site_fract_x
_atom_site_fract_y
_atom_site_fract_z
Sm1 0.000 0.161 0.000
Tm1 0.000 0.000 0.500
Tm2 0.000 0.328 0.500
Tl1 0.000 0.500 0.000
# ΔH_f (0 K) = -0.04 eV/atom
# Electronic total energy = -4.246 eV/atom
# DOS(E_F) = 14.28 states/eV/cell
# E above lowest polymorph = 0.0 kJ/mol of formula units



# Sm2Tm4Tl GGA-PBE relaxed
data_Sm2Tm4Tl
_chemical_formula_sum 'Sm4 Tm8 Tl2'
_space_group_name_H-M_alt 'P 1 21/m 1'
_space_group_IT_number 11
_cell_length_a 5.861
_cell_length_b 6.603
_cell_length_c 11.334
_cell_angle_alpha 90.00
_cell_angle_beta 103.78
_cell_angle_gamma 90.00
loop_
_space_group_symop_operation_xyz
'x,y,z'
'-x,-y,-z'
'-x,y+1/2,-z'
'x,-y+1/2,z'
loop_
_atom_site_label
_atom_site_fract_x
_atom_site_fract_y
_atom_site_fract_z
Sm1 0.061 0.250 0.478
Sm2 0.339 0.750 0.068
Tm1 0.161 0.009 0.788
Tm2 0.211 0.250 0.069
Tm3 0.371 0.750 0.367
Tl1 0.486 0.250 0.341
# ΔH_f (0 K) = 0.01 eV/atom
# Electronic total energy = -4.235 eV/atom
# DOS(E_F) = 16.38 states/eV/cell



# Sm7TmTl2 GGA-PBE relaxed
data_Sm7TmTl2
_chemical_formula_sum 'Sm14 Tm2 Tl4'
_space_group_name_H-M_alt 'C m m m'
_space_group_IT_number 65
_space_group_name_Hall '-C 2 2'
_cell_length_a 9.315
_cell_length_b 16.022
_cell_length_c 5.310
_cell_angle_alpha 90.00
_cell_angle_beta 90.00
_cell_angle_gamma 90.00
loop_
_atom_site_label
_atom_site_fract_x
_atom_site_fract_y
_atom_site_fract_z
Sm1 0.000 0.000 0.000
Sm2 0.000 0.278 0.500
Sm3 0.182 0.382 0.000
Tm1 0.000 0.500 0.500
Tl1 0.000 0.193 0.000
# ΔH_f (0 K) = 0.35 eV/atom
# Electronic total energy = -3.876 eV/atom
# DOS(E_F) = 39.70 states/eV/cell



# Sm3Tm3Tl5 GGA-PBE relaxed
data_Sm3Tm3Tl5
_chemical_formula_sum 'Sm3 Tm3 Tl5'
_space_group_name_H-M_alt 'P -6 2 m'
_space_group_IT_number 189
_space_group_name_Hall 'P -6 -2'
_cell_length_a 10.8633
_cell_length_b 10.8633
_cell_length_c 3.6581
_cell_angle_alpha 90.00
_cell_angle_beta 90.00
_cell_angle_gamma 120.00
loop_
_atom_site_label
_atom_site_fract_x
_atom_site_fract_y
_atom_site_fract_z
Sm1 0.0000 0.8056 0.0000
Tm1 0.0000 0.5478 0.5000
Tl1 0.0000 0.2748 0.5000
Tl2 0.3333 0.6667 0.5000
# ΔH_f (0 K) = 0.21 eV/atom
# Electronic total energy = -3.370 eV/atom
# DOS(E_F) = 11.31 states/eV/cell



# Sm7Tm2Tl2 GGA-PBE relaxed
data_Sm7Tm2Tl2
_chemical_formula_sum 'Sm14 Tm4 Tl4'
_space_group_name_H-M_alt 'I m m 2'
_space_group_IT_number 44
_cell_length_a 3.659
_cell_length_b 20.275
_cell_length_c 9.793
_cell_angle_alpha 90.00
_cell_angle_beta 90.00
_cell_angle_gamma 90.00
loop_
_space_group_symop_operation_xyz
'x,y,z'
'-x,-y,z'
'-x,y,z'
'x,-y,z'
'x+1/2,y+1/2,z+1/2'
'-x+1/2,-y+1/2,z+1/2'
'-x+1/2,y+1/2,z+1/2'
'x+1/2,-y+1/2,z+1/2'
loop_
_atom_site_label
_atom_site_fract_x
_atom_site_fract_y
_atom_site_fract_z
Sm1 0.000 0.000 0.000
Sm2 0.000 0.129 0.541
Sm3 0.000 0.339 0.345
Sm4 0.000 0.368 0.717
Tm1 0.000 0.000 0.351
Tm2 0.000 0.500 0.176
Tl1 0.000 0.244 0.060
# ΔH_f (0 K) = -0.02 eV/atom
# Electronic total energy = -4.271 eV/atom
# DOS(E_F) = 31.78 states/eV/cell



# Sm8TmTl2 GGA-PBE relaxed
data_Sm8TmTl2
_chemical_formula_sum 'Sm16 Tm2 Tl4'
_space_group_name_H-M_alt 'C 1 2/m 1'
_space_group_IT_number 12
_cell_length_a 8.965
_cell_length_b 15.490
_cell_length_c 5.736
_cell_angle_alpha 90.00
_cell_angle_beta 115.16
_cell_angle_gamma 90.00
loop_
_space_group_symop_operation_xyz
'x,y,z'
'-x,-y,-z'
'-x,y,-z'
'x,-y,z'
'x+1/2,y+1/2,z'
'-x+1/2,-y+1/2,-z'
'-x+1/2,y+1/2,-z'
'x+1/2,-y+1/2,z'
loop_
_atom_site_label
_atom_site_fract_x
_atom_site_fract_y
_atom_site_fract_z
Sm1 0.000 0.217 0.000
Sm2 0.097 0.500 0.796
Sm3 0.207 0.112 0.617
Tm1 0.000 0.000 0.000
Tl1 0.000 0.306 0.500
# ΔH_f (0 K) = -0.02 eV/atom
# Electronic total energy = -4.288 eV/atom
# DOS(E_F) = 30.02 states/eV/cell



# Sm6TmTl6 GGA-PBE relaxed
data_Sm6TmTl6
_chemical_formula_sum 'Sm6 Tm1 Tl6'
_space_group_name_H-M_alt 'P 6/m m m'
_space_group_IT_number 191
_space_group_name_Hall '-P 6 2'
_cell_length_a 6.5078
_cell_length_b 6.5078
_cell_length_c 10.7851
_cell_angle_alpha 90.00
_cell_angle_beta 90.00
_cell_angle_gamma 120.00
loop_
_atom_site_label
_atom_site_fract_x
_atom_site_fract_y
_atom_site_fract_z
Sm1 0.0000 0.0000 0.1690
Sm2 0.3333 0.6667 0.0000
Sm3 0.3333 0.6667 0.5000
Tm1 0.0000 0.0000 0.5000
Tl1 0.0000 0.5000 0.2530
# ΔH_f (0 K) = -0.19 eV/atom
# Electronic total energy = -3.806 eV/atom
# DOS(E_F) = 15.85 states/eV/cell